[1]
DFT (GGA-PBEsol) results for an optimized crystal structure of Ba2YAs.

Values from the calculation:
Space-group type: No. 99
Volume (Å³/atom): 37.173
Total magnetic moment (μB/f.u.): 0.577
Final energy (eV per atom): -4.60

a b c (Å): 3.9217 3.9217 9.6681
angles (deg): 90.00 90.00 90.00
Atoms (fractional coordinates):
Y  0.0000  0.0000  0.5916
As  0.5000  0.5000  0.6777
Ba  0.0000  0.0000  0.9301
Ba  0.5000  0.5000  0.3006

***

[2]
DFT (GGA-PBEsol) results for an optimized crystal structure of Ba2YAs.

Values from the calculation:
Space-group type: No. 166
Volume (Å³/atom): 43.091
Total magnetic moment (μB/f.u.): 2.098
Final energy (eV per atom): -4.27

a b c (Å): 4.3459 4.3459 10.8328
angles (deg): 78.43 78.43 60.00
Atoms (fractional coordinates):
Y  0.5000  0.5000  0.5000
As  0.0000  0.0000  0.0000
Ba  0.2740  0.2740  0.1779
Ba  0.7260  0.7260  0.8221

***

[3]
DFT (GGA-PBEsol) results for an optimized crystal structure of Ba2ZnAs.

Values from the calculation:
Space-group type: No. 38
Volume (Å³/atom): 32.110
Total magnetic moment (μB/f.u.): 0.377
Final energy (eV per atom): -3.39

a b c (Å): 4.4619 4.7394 6.5196
angles (deg): 111.31 90.01 90.00
Atoms (fractional coordinates):
As  0.8752  0.6920  0.3841
Ba  0.8748  0.9851  0.9702
Ba  0.3753  0.2639  0.5279
Zn  0.3748  0.5589  0.1178

***

[4]
DFT (GGA-PBEsol) results for an optimized crystal structure of BaZn2As.

Values from the calculation:
Space-group type: No. 12
Volume (Å³/atom): 24.047
Total magnetic moment (μB/f.u.): 0.000
Final energy (eV per atom): -2.53

a b c (Å): 3.1297 5.5434 6.3792
angles (deg): 115.41 103.64 91.25
Atoms (fractional coordinates):
As  0.0000  0.5000  0.0000
Ba  0.5000  0.0000  0.0000
Zn  0.5000  0.5000  0.5000
Zn  0.0000  0.0000  0.5000

***

[5]
DFT (GGA-PBEsol) results for an optimized crystal structure of BaZn2As2.

Values from the calculation:
Space-group type: No. 139
Volume (Å³/atom): 22.356
Total magnetic moment (μB/f.u.): 0.000
Final energy (eV per atom): -3.75

a b c (Å): 4.0919 4.0919 7.2762
angles (deg): 106.33 106.33 90.00
Atoms (fractional coordinates):
Zn  0.2500  0.7500  0.5000
Zn  0.7500  0.2500  0.5000
As  0.3646  0.3646  0.7292
As  0.6354  0.6354  0.2708
Ba  0.0000  0.0000  0.0000

***

[6]
DFT (GGA-PBEsol) results for an optimized crystal structure of BaZn2As2.

Values from the calculation:
Space-group type: No. 62
Volume (Å³/atom): 22.610
Total magnetic moment (μB/f.u.): 0.000
Final energy (eV per atom): -3.78

a b c (Å): 4.2230 9.8978 10.8187
angles (deg): 90.00 90.00 90.00
Atoms (fractional coordinates):
Ba  0.7500  0.2534  0.3255
Ba  0.2500  0.7466  0.6745
Ba  0.7500  0.7534  0.1745
Ba  0.2500  0.2466  0.8255
Zn  0.2500  0.5979  0.9512
Zn  0.7500  0.4021  0.0488
Zn  0.7500  0.9021  0.4512
Zn  0.2500  0.0979  0.5488
Zn  0.2500  0.0490  0.1182
Zn  0.7500  0.9510  0.8818
Zn  0.2500  0.5490  0.3818
Zn  0.7500  0.4510  0.6182
As  0.2500  0.3509  0.5392
As  0.7500  0.6491  0.4608
As  0.7500  0.1491  0.0392
As  0.2500  0.8509  0.9608
As  0.2500  0.4763  0.1604
As  0.7500  0.5237  0.8396
As  0.2500  0.9763  0.3396
As  0.7500  0.0237  0.6604

***

[7]
DFT (GGA-PBEsol) results for an optimized crystal structure of BaZnAs2.

Values from the calculation:
Space-group type: No. 10
Volume (Å³/atom): 27.228
Total magnetic moment (μB/f.u.): 0.000
Final energy (eV per atom): -3.99

a b c (Å): 4.0141 4.8873 5.5832
angles (deg): 96.10 90.00 90.00
Atoms (fractional coordinates):
As  0.0000  0.4439  0.2708
As  0.0000  0.5561  0.7292
Ba  0.5000  0.0000  0.5000
Zn  0.5000  0.5000  0.0000

***

[8]
DFT (GGA-PBEsol) results for an optimized crystal structure of BaZr2As.

Values from the calculation:
Space-group type: No. 119
Volume (Å³/atom): 23.374
Total magnetic moment (μB/f.u.): 0.000
Final energy (eV per atom): -6.20

a b c (Å): 4.5018 4.5018 5.6051
angles (deg): 113.68 113.68 90.00
Atoms (fractional coordinates):
As  0.5000  0.5000  0.0000
Ba  0.2500  0.7500  0.5000
Zr  0.0000  0.0000  0.0000
Zr  0.7500  0.2500  0.5000